This record from the Alexandria database describes KTe2W after structural relaxation. The functional is GGA-PBE. Values from VASP.

Values from the calculation:
For the volume, the calculation gives 27.73 A^3/atom. The value obtained for the uncorrected formation energy is 0.054 eV/atom.

Cell and atoms, written as Quantum ESPRESSO input:
```
&SYSTEM
  ibrav = 0, nat = 4, ntyp = 3
/
ATOMIC_SPECIES
K 39.10 K.upf
Te 127.60 Te.upf
W 183.84 W.upf
CELL_PARAMETERS angstrom
-1.772 1.843 8.491
1.772 -1.843 8.491
1.772 1.843 -8.491
ATOMIC_POSITIONS crystal
K 0.000 0.000 0.000
Te 0.363 0.363 0.000
Te 0.670 0.170 0.500
W 0.243 0.743 0.500
```



This record from the Alexandria database describes CaTiO2 after structural relaxation. The functional is GGA-PBE. Values from VASP.

Values from the calculation:
For the volume, the calculation gives 15.56 A^3/atom. The value obtained for the uncorrected formation energy is -2.388 eV/atom.

Cell and atoms, written as Quantum ESPRESSO input:
```
&SYSTEM
  ibrav = 0, nat = 16, ntyp = 3
/
ATOMIC_SPECIES
Ca 40.08 Ca.upf
Ti 47.87 Ti.upf
O 16.00 O.upf
CELL_PARAMETERS angstrom
9.230 -1.478 0.000
9.230 1.478 0.000
-7.160 0.000 9.125
ATOMIC_POSITIONS crystal
Ca 0.067 0.067 0.281
Ca 0.373 0.373 0.939
Ca 0.627 0.627 0.061
Ca 0.933 0.933 0.719
Ti 0.216 0.216 0.622
Ti 0.332 0.332 0.147
Ti 0.668 0.668 0.853
Ti 0.784 0.784 0.378
O 0.091 0.091 0.862
O 0.180 0.180 0.740
O 0.186 0.186 0.260
O 0.352 0.352 0.532
O 0.648 0.648 0.468
O 0.814 0.814 0.740
O 0.820 0.820 0.260
O 0.909 0.909 0.138
```



This record from the Alexandria database describes LiTaNb2 after structural relaxation. The functional is GGA-PBE. Values from VASP.

Values from the calculation:
The formation energy comes out at 0.6735 eV/atom. For the volume, the calculation gives 17.62 A^3/atom.

Cell and atoms, written as Quantum ESPRESSO input:
```
&SYSTEM
  ibrav = 0, nat = 8, ntyp = 3
/
ATOMIC_SPECIES
Li 6.94 Li.upf
Ta 180.95 Ta.upf
Nb 92.91 Nb.upf
CELL_PARAMETERS angstrom
-3.603 3.603 2.714
3.603 -3.603 2.714
3.603 3.603 -2.714
ATOMIC_POSITIONS crystal
Li 0.000 0.000 0.000
Li 0.750 0.250 0.500
Ta 0.250 0.750 0.500
Ta 0.500 0.500 0.000
Nb 0.105 0.625 0.980
Nb 0.375 0.355 0.480
Nb 0.645 0.125 0.020
Nb 0.875 0.895 0.520
```



This record from the Alexandria database describes NaYCuTe2 after structural relaxation. The functional is GGA-PBE. Values from VASP.

Values from the calculation:
For the volume, the calculation gives 29.53 A^3/atom. The value obtained for the uncorrected formation energy is -0.704 eV/atom.

Cell and atoms, written as Quantum ESPRESSO input:
```
&SYSTEM
  ibrav = 0, nat = 10, ntyp = 4
/
ATOMIC_SPECIES
Na 22.99 Na.upf
Y 88.91 Y.upf
Cu 63.55 Cu.upf
Te 127.60 Te.upf
CELL_PARAMETERS angstrom
7.783 0.000 0.000
0.000 4.603 0.000
-1.210 0.000 8.242
ATOMIC_POSITIONS crystal
Na 0.000 0.169 0.250
Na 0.000 0.831 0.750
Y 0.500 0.495 0.750
Y 0.500 0.505 0.250
Cu 0.500 0.000 0.000
Cu 0.500 0.000 0.500
Te 0.231 0.309 0.966
Te 0.231 0.691 0.466
Te 0.769 0.309 0.534
Te 0.769 0.691 0.034
```